Material: PuFeSiC
Method: DFT, PBE
State: relaxed

Cell and atoms, written as POSCAR:
```
PuFeSiC
1.0
3.6211 0.0000 0.0000
0.0000 3.6211 0.0000
0.0000 0.0000 8.6799
Pu Fe Si C
2 2 2 2
Direct
0.2500 0.2500 0.1493 Pu
0.7500 0.7500 0.8507 Pu
0.2500 0.7500 0.5000 Fe
0.7500 0.2500 0.5000 Fe
0.2500 0.2500 0.6681 Si
0.7500 0.7500 0.3319 Si
0.2500 0.2500 0.8817 C
0.7500 0.7500 0.1183 C
```

Results
As for the formation energy (no corrections): -111.0 kJ/mol of formula units. Its space group is P4/nmm.

=====

Material: Rb2Sr2IrO6
Method: DFT, PBE
State: relaxed

Cell and atoms, written as POSCAR:
```
Rb2Sr2IrO6
1.0
3.0920 -5.1950 0.0000
3.0920 5.1950 0.0000
-1.8372 0.0000 6.5941
Rb Sr Ir O
2 2 1 6
Direct
0.1646 0.8354 0.0000 Rb
0.8354 0.1646 0.0000 Rb
0.3371 0.6629 0.5000 Sr
0.6629 0.3371 0.5000 Sr
0.0000 0.0000 0.5000 Ir
0.0480 0.3230 0.6674 O
0.2111 0.2111 0.3255 O
0.3230 0.0480 0.6674 O
0.6770 0.9520 0.3326 O
0.7889 0.7889 0.6745 O
0.9520 0.6770 0.3326 O
```

Results
As for the formation energy (no corrections): -1796.7 kJ/mol of formula units. Its space group is C2/m.

=====

Material: BaLaYBi2
Method: DFT, PBE
State: relaxed

Cell and atoms, written as POSCAR:
```
BaLaYBi2
1.0
6.1610 0.0000 0.0000
0.0000 6.1610 0.0000
0.0000 0.0000 6.0263
Ba La Y Bi
1 1 1 2
Direct
0.0000 0.0000 0.0000 Ba
0.0000 0.0000 0.5000 La
0.5000 0.5000 0.0000 Y
0.0000 0.5000 0.5000 Bi
0.5000 0.0000 0.5000 Bi
```

Results
Its space group is P4/mmm. As for the energy relative to the elements: 0.43 eV/atom.

=====

no.,N(E_F) (states/eV/cell)
1,13.6
2,0.4
3,6.2